# 1
DFT (PBE) results for a relaxed TbSi2NiGe crystal.

```
10
Lattice="2.020 -10.615 0.000 2.020 10.615 0.000 0.000 0.000 3.976" Properties=species:S:1:pos:R:3 pbc="T T T"
Tb 2.020 7.002 0.000
Tb 2.020 -7.002 0.000
Si 2.020 4.644 1.988
Si 2.020 1.204 0.000
Si 2.020 -1.204 0.000
Si 2.020 -4.644 1.988
Ni 2.020 2.382 1.988
Ni 2.020 -2.382 1.988
Ge 2.020 9.397 1.988
Ge 2.020 -9.397 1.988
```

Electronic total energy = -5.78 eV per atom
Magnetic moment = 0.00 μB/f.u.
Excess energy over the best structure of this formula in the dataset = 14.2 meV/atom
Space group = Cmmm (65)
Theoretical density = 6.747 Mg/m³



# 2
DFT (PBE) results for a relaxed TmSiNiGe2 crystal.

```
10
Lattice="2.012 -10.661 0.000 2.012 10.661 0.000 0.000 0.000 4.026" Properties=species:S:1:pos:R:3 pbc="T T T"
Tm 2.012 6.993 0.000
Tm 2.012 -6.993 0.000
Si 2.012 4.682 2.013
Si 2.012 -4.682 2.013
Ni 2.012 2.464 2.013
Ni 2.012 -2.464 2.013
Ge 2.012 9.413 2.013
Ge 2.012 1.246 0.000
Ge 2.012 -1.246 0.000
Ge 2.012 -9.413 2.013
```

Electronic total energy = -5.53 eV per atom
Magnetic moment = 0.00 μB/f.u.
Excess energy over the best structure of this formula in the dataset = 0.0 meV/atom
Space group = Cmmm (65)
Theoretical density = 7.710 Mg/m³



# 3
DFT (PBE) results for a relaxed TmSiNiGe2 crystal.

```
10
Lattice="2.037 -10.715 0.000 2.037 10.715 0.000 0.000 0.000 3.958" Properties=species:S:1:pos:R:3 pbc="T T T"
Tm 2.037 7.122 0.000
Tm 2.037 -7.122 0.000
Si 2.037 1.201 0.000
Si 2.037 -1.201 0.000
Ni 2.037 2.348 1.979
Ni 2.037 -2.348 1.979
Ge 2.037 9.493 1.979
Ge 2.037 4.642 1.979
Ge 2.037 -4.642 1.979
Ge 2.037 -9.493 1.979
```

Electronic total energy = -5.52 eV per atom
Magnetic moment = 0.00 μB/f.u.
Excess energy over the best structure of this formula in the dataset = 7.1 meV/atom
Space group = Cmmm (65)
Theoretical density = 7.709 Mg/m³



# 4
DFT (PBE) results for a relaxed TmSiNiGe2 crystal.

```
10
Lattice="1.984 -10.743 0.000 1.984 10.743 0.000 0.000 0.000 4.054" Properties=species:S:1:pos:R:3 pbc="T T T"
Tm 1.984 7.148 0.000
Tm 1.984 -7.148 0.000
Si 1.984 9.540 2.027
Si 1.984 -9.540 2.027
Ni 1.984 2.343 2.027
Ni 1.984 -2.343 2.027
Ge 1.984 4.631 2.027
Ge 1.984 1.217 0.000
Ge 1.984 -1.217 0.000
Ge 1.984 -4.631 2.027
```

Electronic total energy = -5.52 eV per atom
Magnetic moment = 0.00 μB/f.u.
Excess energy over the best structure of this formula in the dataset = 8.5 meV/atom
Space group = Cmmm (65)
Theoretical density = 7.704 Mg/m³



Question: What is the formula in the fourth record?
Answer: TmSiNiGe2